Entry 1:
VASP calculation (PBE-GGA) on a relaxed structure of LaGaIrPb2.

It has space group P4/mmm (No. 123), with a = 5.398 Å, b = 5.398 Å, c = 4.724 Å, α = 90.00°, β = 90.00° and γ = 90.00°. The asymmetric unit holds La at (0.000, 0.000, 0.000), Ga at (0.500, 0.500, 0.500), Ir at (0.500, 0.500, 0.000) and Pb at (0.000, 0.500, 0.500).

As for the calculated formation energy: 14 kJ/mol of atoms. As for the spin magnetization: 0.00 Bohr magnetons per cell. For the raw total energy, the calculation gives -4.71 eV per atom.



Entry 2:
VASP calculation (PBE-GGA) on a relaxed structure of LaGa2IrPb.

It has space group P4/mmm (No. 123), with a = 4.899 Å, b = 4.899 Å, c = 5.474 Å, α = 90.00°, β = 90.00° and γ = 90.00°. The asymmetric unit holds La at (0.000, 0.000, 0.000), Ga at (0.000, 0.500, 0.500), Ir at (0.000, 0.000, 0.500) and Pb at (0.500, 0.500, 0.000).

As for the calculated formation energy: -41 kJ/mol of atoms. As for the spin magnetization: 0.00 Bohr magnetons per cell. For the raw total energy, the calculation gives -5.13 eV per atom.



Entry 3:
VASP calculation (PBE-GGA) on a relaxed structure of La2Ga4IrPd3.

It has space group P-4m2 (No. 115), with a = 4.372 Å, b = 4.372 Å, c = 10.306 Å, α = 90.00°, β = 90.00° and γ = 90.00°. The asymmetric unit holds La at (0.000, 0.500, 0.247), Ga at (0.000, 0.000, 0.500), Ga at (0.000, 0.500, 0.875), Ga at (0.500, 0.500, 0.500), Ir at (0.500, 0.500, 0.000), Pd at (0.000, 0.000, 0.000) and Pd at (0.000, 0.500, 0.630).

As for the calculated formation energy: -78 kJ/mol of atoms. As for the spin magnetization: 0.00 Bohr magnetons per cell. For the raw total energy, the calculation gives -5.44 eV per atom.



| no. | N(E_F) (states/eV per cell) |
| --- | --- |
| 1 | 4.09 |
| 2 | 3.29 |
| 3 | 7.54 |